(1)
Entry from the Alexandria database: a relaxed structure of AcTe2PdO8 (PBE).

symmetry: I-4m2, No. 119
uncorrected formation energy: -26.91 kcal/mol of atoms

a = 6.466 Å, b = 6.466 Å, c = 6.466 Å
α = 107.63°, β = 107.63°, γ = 113.21°
Sites, in units of the cell vectors:
Ac1 0.000 0.000 0.000
Te1 0.500 0.500 0.000
Te2 0.750 0.250 0.500
Pd1 0.250 0.750 0.500
O1 0.328 0.140 0.812
O2 0.328 0.516 0.188
O3 0.402 0.090 0.312
O4 0.484 0.672 0.812
O5 0.777 0.090 0.688
O6 0.860 0.672 0.188
O7 0.910 0.223 0.312
O8 0.910 0.598 0.688

---

(2)
Entry from the Alexandria database: a relaxed structure of AcTePd2O8 (PBE).

symmetry: I-4m2, No. 119
uncorrected formation energy: -19.25 kcal/mol of atoms

a = 6.169 Å, b = 6.169 Å, c = 6.169 Å
α = 107.58°, β = 107.58°, γ = 113.33°
Sites, in units of the cell vectors:
Ac1 0.000 0.000 0.000
Te1 0.250 0.750 0.500
Pd1 0.500 0.500 0.000
Pd2 0.750 0.250 0.500
O1 0.301 0.086 0.785
O2 0.301 0.516 0.215
O3 0.365 0.025 0.340
O4 0.484 0.699 0.785
O5 0.685 0.025 0.660
O6 0.914 0.699 0.215
O7 0.975 0.315 0.340
O8 0.975 0.635 0.660

---

(3)
Entry from the Alexandria database: a relaxed structure of AcTe2PdO6 (PBE).

symmetry: C2/c, No. 15
uncorrected formation energy: -32.64 kcal/mol of atoms

a = 9.064 Å, b = 9.064 Å, c = 4.632 Å
α = 94.80°, β = 94.80°, γ = 114.49°
Sites, in units of the cell vectors:
Ac1 0.167 0.833 0.750
Ac2 0.833 0.167 0.250
Te1 0.200 0.386 0.770
Te2 0.386 0.200 0.270
Te3 0.614 0.800 0.730
Te4 0.800 0.614 0.230
Pd1 0.339 0.661 0.250
Pd2 0.661 0.339 0.750
O1 0.020 0.702 0.164
O2 0.153 0.248 0.405
O3 0.186 0.559 0.557
O4 0.248 0.153 0.905
O5 0.298 0.980 0.336
O6 0.441 0.814 0.943
O7 0.559 0.186 0.057
O8 0.702 0.020 0.664
O9 0.752 0.847 0.095
O10 0.814 0.441 0.443
O11 0.847 0.752 0.595
O12 0.980 0.298 0.836

---

(4)
Entry from the Alexandria database: a relaxed structure of AcTl2PdO6 (PBE).

symmetry: R3, No. 146
uncorrected formation energy: -27.19 kcal/mol of atoms

a = 6.379 Å, b = 6.379 Å, c = 6.379 Å
α = 54.05°, β = 54.05°, γ = 54.05°
Sites, in units of the cell vectors:
Ac1 0.000 0.000 0.000
Tl1 0.210 0.210 0.210
Tl2 0.747 0.747 0.747
Pd1 0.516 0.516 0.516
O1 0.181 0.395 0.766
O2 0.309 0.870 0.597
O3 0.395 0.766 0.181
O4 0.597 0.309 0.870
O5 0.766 0.181 0.395
O6 0.870 0.597 0.309

---

(5)
Entry from the Alexandria database: a relaxed structure of AcTlPdO4 (PBE).

symmetry: Imma, No. 74
uncorrected formation energy: -32.05 kcal/mol of atoms

a = 7.105 Å, b = 7.105 Å, c = 7.105 Å
α = 123.63°, β = 121.25°, γ = 85.83°
Sites, in units of the cell vectors:
Ac1 0.431 0.181 0.250
Ac2 0.569 0.819 0.750
Tl1 0.000 0.500 0.500
Tl2 0.500 0.500 0.000
Pd1 0.000 0.000 0.500
Pd2 0.000 0.500 0.000
O1 0.151 0.723 0.428
O2 0.204 0.277 0.928
O3 0.316 0.362 0.546
O4 0.316 0.770 0.954
O5 0.684 0.230 0.046
O6 0.684 0.638 0.454
O7 0.796 0.723 0.072
O8 0.849 0.277 0.572

---

(6)
Entry from the Alexandria database: a relaxed structure of Ac2TlPdO6 (PBE).

symmetry: P4mm, No. 99
uncorrected formation energy: -41.67 kcal/mol of atoms

a = 5.791 Å, b = 5.791 Å, c = 4.803 Å
α = 90.00°, β = 90.00°, γ = 90.00°
Sites, in units of the cell vectors:
Ac1 0.000 0.500 0.000
Ac2 0.500 0.000 0.000
Tl1 0.000 0.000 0.531
Pd1 0.500 0.500 0.624
O1 0.000 0.000 0.085
O2 0.256 0.256 0.685
O3 0.256 0.744 0.685
O4 0.500 0.500 0.134
O5 0.744 0.256 0.685
O6 0.744 0.744 0.685

---

(7)
Entry from the Alexandria database: a relaxed structure of Ac2TlPd2O6 (PBE).

symmetry: R-3m, No. 166
uncorrected formation energy: -30.75 kcal/mol of atoms

a = 6.635 Å, b = 6.635 Å, c = 6.635 Å
α = 55.91°, β = 55.91°, γ = 55.91°
Sites, in units of the cell vectors:
Ac1 0.213 0.213 0.213
Ac2 0.787 0.787 0.787
Tl1 0.000 0.000 0.000
Pd1 0.412 0.412 0.412
Pd2 0.588 0.588 0.588
O1 0.193 0.756 0.756
O2 0.244 0.244 0.807
O3 0.244 0.807 0.244
O4 0.756 0.193 0.756
O5 0.756 0.756 0.193
O6 0.807 0.244 0.244

---

(8)
Entry from the Alexandria database: a relaxed structure of AcTlPdO (PBE).

symmetry: P4/nmm, No. 129
uncorrected formation energy: -35.28 kcal/mol of atoms

a = 4.516 Å, b = 4.516 Å, c = 8.966 Å
α = 90.00°, β = 90.00°, γ = 90.00°
Sites, in units of the cell vectors:
Ac1 0.250 0.250 0.127
Ac2 0.750 0.750 0.873
Tl1 0.250 0.750 0.500
Tl2 0.750 0.250 0.500
Pd1 0.250 0.250 0.684
Pd2 0.750 0.750 0.316
O1 0.250 0.750 0.000
O2 0.750 0.250 0.000

---

(9)
Entry from the Alexandria database: a relaxed structure of Ac2TmPdO5 (PBE).

symmetry: P4/mbm, No. 127
uncorrected formation energy: -51.88 kcal/mol of atoms

a = 6.905 Å, b = 6.905 Å, c = 5.989 Å
α = 90.00°, β = 90.00°, γ = 90.00°
Sites, in units of the cell vectors:
Ac1 0.163 0.337 0.000
Ac2 0.337 0.837 0.000
Ac3 0.663 0.163 0.000
Ac4 0.837 0.663 0.000
Tm1 0.000 0.000 0.500
Tm2 0.500 0.500 0.500
Pd1 0.000 0.500 0.500
Pd2 0.500 0.000 0.500
O1 0.000 0.000 0.000
O2 0.170 0.670 0.275
O3 0.170 0.670 0.725
O4 0.330 0.170 0.275
O5 0.330 0.170 0.725
O6 0.500 0.500 0.000
O7 0.670 0.830 0.275
O8 0.670 0.830 0.725
O9 0.830 0.330 0.275
O10 0.830 0.330 0.725

---

(10)
Entry from the Alexandria database: a relaxed structure of Ac3TmPd2O9 (PBE).

symmetry: P-3m1, No. 164
uncorrected formation energy: -52.97 kcal/mol of atoms

a = 5.861 Å, b = 5.861 Å, c = 7.298 Å
α = 90.00°, β = 90.00°, γ = 120.00°
Sites, in units of the cell vectors:
Ac1 0.000 0.000 0.000
Ac2 0.333 0.667 0.707
Ac3 0.667 0.333 0.293
Tm1 0.000 0.000 0.500
Pd1 0.333 0.667 0.167
Pd2 0.667 0.333 0.833
O1 0.000 0.500 0.000
O2 0.164 0.329 0.318
O3 0.164 0.836 0.318
O4 0.329 0.164 0.682
O5 0.500 0.000 0.000
O6 0.500 0.500 0.000
O7 0.671 0.836 0.318
O8 0.836 0.164 0.682
O9 0.836 0.671 0.682

---

(11)
Entry from the Alexandria database: a relaxed structure of Ac2TmPdO6 (PBE).

symmetry: Pmmn, No. 59
uncorrected formation energy: -58.47 kcal/mol of atoms

a = 5.725 Å, b = 8.771 Å, c = 6.079 Å
α = 90.00°, β = 90.00°, γ = 90.00°
Sites, in units of the cell vectors:
Ac1 0.250 0.033 0.214
Ac2 0.250 0.467 0.214
Ac3 0.750 0.533 0.786
Ac4 0.750 0.967 0.786
Tm1 0.250 0.250 0.729
Tm2 0.750 0.750 0.271
Pd1 0.250 0.750 0.762
Pd2 0.750 0.250 0.238
O1 0.007 0.250 0.009
O2 0.010 0.250 0.462
O3 0.250 0.007 0.802
O4 0.250 0.493 0.802
O5 0.490 0.250 0.462
O6 0.493 0.250 0.009
O7 0.507 0.750 0.991
O8 0.510 0.750 0.538
O9 0.750 0.507 0.198
O10 0.750 0.993 0.198
O11 0.990 0.750 0.538
O12 0.993 0.750 0.991

---

(12)
Entry from the Alexandria database: a relaxed structure of AcUPdO6 (PBE).

symmetry: P-31c, No. 163
uncorrected formation energy: -55.98 kcal/mol of atoms

a = 5.471 Å, b = 5.471 Å, c = 11.106 Å
α = 90.00°, β = 90.00°, γ = 120.00°
Sites, in units of the cell vectors:
Ac1 0.000 0.000 0.000
Ac2 0.000 0.000 0.500
U1 0.333 0.667 0.250
U2 0.667 0.333 0.750
Pd1 0.333 0.667 0.750
Pd2 0.667 0.333 0.250
O1 0.005 0.361 0.143
O2 0.005 0.644 0.357
O3 0.356 0.361 0.357
O4 0.356 0.995 0.143
O5 0.361 0.005 0.643
O6 0.361 0.356 0.857
O7 0.639 0.644 0.143
O8 0.639 0.995 0.357
O9 0.644 0.005 0.857
O10 0.644 0.639 0.643
O11 0.995 0.356 0.643
O12 0.995 0.639 0.857